Below is crystalline ScTlCl2 at its relaxed geometry, with properties calculated at the PBE-GGA level.

POSCAR file:
```
ScTlCl2
1.0
3.282 -4.233 0.000
3.282 4.233 0.000
0.000 0.000 3.443
Sc Tl Cl
1 1 2
direct
0.000 0.000 0.000
0.500 0.500 0.000
0.000 0.500 0.500
0.500 0.000 0.500
```

Results
Size of the total moment (μB per cell): 0.00
Calculated volume (Å³ per atom): 23.92
Distance to the lowest polymorph of the same formula (meV/atom): 613
Space group: Cmmm
Uncorrected formation energy (eV per atom): -0.698

---

Below is crystalline DyHoTmIn at its relaxed geometry, with properties calculated at the PBE-GGA level.

POSCAR file:
```
DyHoTmIn
1.0
0.000 3.829 3.829
3.829 0.000 3.829
3.829 3.829 0.000
Dy Ho Tm In
1 1 1 1
direct
0.000 0.000 0.000
0.500 0.500 0.500
0.750 0.750 0.750
0.250 0.250 0.250
```

Results
Energy of formation from the pure elements (eV per atom): -0.132
Size of the total moment (μB per cell): 0.67
Calculated volume (Å³ per atom): 28.08
Distance to the lowest polymorph of the same formula (meV/atom): 131
Space group: F-43m

---

Below is crystalline Mn2VW2 at its relaxed geometry, with properties calculated at the PBE-GGA level.

POSCAR file:
```
Mn2VW2
1.0
6.924 0.000 0.000
0.000 6.924 0.000
0.000 0.000 2.919
Mn V W
4 2 4
direct
0.137 0.363 0.000
0.363 0.863 0.000
0.637 0.137 0.000
0.863 0.637 0.000
0.000 0.000 0.000
0.500 0.500 0.000
0.165 0.665 0.500
0.335 0.165 0.500
0.665 0.835 0.500
0.835 0.335 0.500
```

Results
Energy of formation from the pure elements (eV per atom): 0.332
Size of the total moment (μB per cell): 0.00
Calculated volume (Å³ per atom): 13.99
Space group: P4/mbm

---

Below is crystalline K2TaHg at its relaxed geometry, with properties calculated at the PBE-GGA level.

POSCAR file:
```
K2TaHg
1.0
3.087 0.000 0.000
0.000 3.087 0.000
0.000 0.000 12.119
K Ta Hg
2 1 1
direct
0.000 0.000 0.248
0.000 0.000 0.752
0.500 0.500 0.500
0.500 0.500 0.000
```

Results
Energy of formation from the pure elements (eV per atom): 0.867
Size of the total moment (μB per cell): 1.34
Calculated volume (Å³ per atom): 28.87
Space group: P4/mmm

---

Below is crystalline RbGa4Si2 at its relaxed geometry, with properties calculated at the PBE-GGA level.

POSCAR file:
```
RbGa4Si2
1.0
2.385 -7.500 0.000
2.385 7.500 0.000
0.000 0.000 4.652
Rb Ga Si
1 4 2
direct
0.000 0.000 0.000
0.190 0.810 0.500
0.297 0.703 0.000
0.703 0.297 0.000
0.810 0.190 0.500
0.374 0.626 0.500
0.626 0.374 0.500
```

Results
Size of the total moment (μB per cell): 0.00
Calculated volume (Å³ per atom): 23.78
Space group: Cmmm
Uncorrected formation energy (eV per atom): 0.053

---

Below is crystalline LuPuZnPd at its relaxed geometry, with properties calculated at the PBE-GGA level.

POSCAR file:
```
LuPuZnPd
1.0
0.000 3.516 3.516
3.516 0.000 3.516
3.516 3.516 0.000
Lu Pu Zn Pd
1 1 1 1
direct
0.000 0.000 0.000
0.500 0.500 0.500
0.750 0.750 0.750
0.250 0.250 0.250
```

Results
Energy of formation from the pure elements (eV per atom): -0.390
Size of the total moment (μB per cell): 5.49
Calculated volume (Å³ per atom): 21.73
Space group: F-43m